No. 1
Ba3Si6N4O9 at its PBEsol-relaxed geometry. Source: the Alexandria database, functional meta-GGA SCAN.

## Properties
E_tot: -15.021 eV/atom
magnetic moment: 0.0 Bohr magnetons per cell
space-group type: P3

a b c (Å): 7.264 7.264 6.778
angles (deg): 90.00 90.00 120.00
Atoms (fractional coordinates):
1 Ba 0.000 0.000 0.000
2 Ba 0.333 0.667 0.191
3 Ba 0.667 0.333 0.131
4 Si 0.074 0.623 0.699
5 Si 0.253 0.040 0.485
6 Si 0.377 0.451 0.699
7 Si 0.549 0.926 0.699
8 Si 0.786 0.747 0.485
9 Si 0.960 0.214 0.485
10 N 0.000 0.000 0.536
11 N 0.131 0.425 0.634
12 N 0.294 0.869 0.634
13 N 0.575 0.706 0.634
14 O 0.015 0.624 0.927
15 O 0.289 0.008 0.255
16 O 0.376 0.391 0.927
17 O 0.412 0.293 0.544
18 O 0.609 0.985 0.927
19 O 0.707 0.119 0.544
20 O 0.720 0.711 0.255
21 O 0.881 0.588 0.544
22 O 0.992 0.280 0.255

=====

No. 2
MnNCl2 at its PBEsol-relaxed geometry. Source: the Alexandria database, functional meta-GGA SCAN.

## Properties
E_tot: -10.811 eV/atom
magnetic moment: 16.0 Bohr magnetons per cell
space-group type: I-42d

a b c (Å): 6.696 6.696 6.696
angles (deg): 116.91 116.91 95.44
Atoms (fractional coordinates):
1 Mn 0.000 0.000 0.000
2 Mn 0.750 0.250 0.500
3 N 0.250 0.750 0.500
4 N 0.500 0.500 0.000
5 Cl 0.029 0.625 0.904
6 Cl 0.375 0.279 0.404
7 Cl 0.721 0.125 0.096
8 Cl 0.875 0.971 0.596

=====

Among the records above, which one has the lowest magnetic moment?
Ba3Si6N4O9